Crystalline LiTaWO6 at its relaxed geometry. Source: the Alexandria database, functional PBE with a Hubbard U.

Computed properties:
SG: P-31c (163)
E_tot: -142.86 eV for the cell shown

Cell: 5.248 5.248 9.567 Å, 90.00 90.00 120.00°
Fractional positions:
Li (0.000, 0.000, 0.000)
Li (0.000, 0.000, 0.500)
Ta (0.333, 0.667, 0.250)
Ta (0.667, 0.333, 0.750)
W (0.333, 0.667, 0.750)
W (0.667, 0.333, 0.250)
O (0.007, 0.371, 0.638)
O (0.007, 0.636, 0.862)
O (0.364, 0.371, 0.862)
O (0.364, 0.993, 0.638)
O (0.371, 0.007, 0.138)
O (0.371, 0.364, 0.362)
O (0.629, 0.636, 0.638)
O (0.629, 0.993, 0.862)
O (0.636, 0.007, 0.362)
O (0.636, 0.629, 0.138)
O (0.993, 0.364, 0.138)
O (0.993, 0.629, 0.362)